Entry 1:
{"formula": "VNiH4", "functional": "PBE-GGA", "state": "relaxed", "lattice_angstrom": [[2.931, 0.000, 0.001], [0.000, 2.931, 0.001], [-0.002, -0.003, 4.223]], "species": ["H", "H", "H", "H", "V", "Ni"], "frac_coords": [[0.501, 0.997, 0.259], [0.501, 0.997, 0.737], [0.001, 0.497, 0.737], [0.001, 0.497, 0.259], [0.501, 0.497, 0.998], [0.001, 0.997, 0.498]], "total_energy_ev_per_atom": -4.721, "n_ef_per_ev_cell": 3.32}


Entry 2:
{"formula": "AcTcNi", "functional": "PBE-GGA", "state": "relaxed", "lattice_angstrom": [[4.278, 0.000, 0.000], [-2.139, 3.665, 0.545], [0.000, -1.480, 9.435]], "species": ["Ac", "Tc", "Ni", "Tc", "Ac", "Ni"], "frac_coords": [[0.336, 0.673, 0.297], [0.667, 0.334, 0.016], [0.999, 0.997, 0.875], [0.333, 0.666, 0.984], [0.664, 0.327, 0.703], [0.001, 0.003, 0.125]], "total_energy_ev_per_atom": -6.752, "ef_ev_per_fu": 0.0, "n_ef_per_ev_cell": 6.00}


Entry 3:
{"formula": "Li12Ag2Pd5", "functional": "PBE-GGA", "state": "relaxed", "lattice_angstrom": [[-3.103, 1.832, -3.966], [1.513, -6.971, -0.784], [-6.968, 4.165, 7.376]], "species": ["Pd", "Li", "Pd", "Ag", "Li", "Ag", "Pd", "Pd", "Li", "Li", "Li", "Li", "Li", "Pd", "Li", "Li", "Li", "Li", "Li"], "frac_coords": [[0.609, 0.219, 0.278], [0.536, 0.072, 0.644], [0.665, 0.330, 0.937], [0.752, 0.000, 0.000], [0.464, 0.928, 0.356], [0.248, 0.000, 0.000], [0.335, 0.670, 0.063], [0.000, 0.000, 0.500], [0.067, 0.654, 0.478], [0.587, 0.654, 0.478], [0.508, 0.495, 0.188], [0.413, 0.346, 0.522], [0.954, 0.908, 0.189], [0.391, 0.781, 0.722], [0.013, 0.505, 0.812], [0.046, 0.092, 0.811], [0.933, 0.346, 0.522], [0.987, 0.495, 0.188], [0.492, 0.505, 0.812]], "total_energy_ev_per_atom": -3.057, "ef_ev_per_fu": -3.4, "n_ef_per_ev_cell": 5.88}


Entry 4:
{"formula": "Sc2GaBiH", "functional": "PBE-GGA", "state": "relaxed", "lattice_angstrom": [[-2.356, 5.072, -0.675], [-1.267, -0.114, 3.568], [4.757, 2.445, 1.768]], "species": ["H", "Sc", "Bi", "Ga", "Sc"], "frac_coords": [[0.000, 0.500, 0.000], [0.000, 0.000, 0.500], [0.000, 0.000, 0.000], [0.500, 0.500, 0.500], [0.500, 0.000, 0.000]], "total_energy_ev_per_atom": -4.275, "n_ef_per_ev_cell": 1.76}


Entry 5:
{"formula": "NbRuRh", "functional": "PBE-GGA", "state": "relaxed", "lattice_angstrom": [[-0.489, -1.128, -2.504], [3.526, -2.594, 0.480], [-3.947, -1.371, 1.389]], "species": ["Rh", "Nb", "Ru"], "frac_coords": [[0.167, 0.000, 0.000], [0.667, 0.667, 0.333], [0.166, 0.333, 0.667]], "total_energy_ev_per_atom": -8.966, "ef_ev_per_fu": -0.2, "n_ef_per_ev_cell": 4.58}


Entry 6:
{"formula": "PaGa3Ni3", "functional": "PBE-GGA", "state": "relaxed", "lattice_angstrom": [[6.441, 0.000, 0.000], [3.220, 5.578, 0.000], [3.220, 1.859, 6.079]], "species": ["Ni", "Ni", "Ni", "Ga", "Ga", "Ni", "Ga", "Ga", "Pa", "Pa", "Ni", "Ga", "Ga", "Ni"], "frac_coords": [[0.820, 0.287, 0.814], [0.713, 0.922, 0.186], [0.180, 0.713, 0.186], [0.257, 0.920, 0.382], [0.920, 0.441, 0.382], [0.078, 0.820, 0.814], [0.441, 0.257, 0.382], [0.743, 0.080, 0.618], [0.657, 0.657, 0.029], [0.343, 0.343, 0.971], [0.922, 0.180, 0.186], [0.559, 0.743, 0.618], [0.080, 0.559, 0.618], [0.287, 0.078, 0.814]], "total_energy_ev_per_atom": -5.396, "ef_ev_per_fu": -1.8, "n_ef_per_ev_cell": 14.16}


Entry 7:
{"formula": "ScIn2Tc", "functional": "PBE-GGA", "state": "relaxed", "lattice_angstrom": [[-3.452, -0.171, 0.870], [0.117, -3.554, -0.238], [1.522, -0.350, 5.973]], "species": ["Sc", "In", "Tc", "In"], "frac_coords": [[0.500, 0.500, 0.250], [0.000, 0.000, 0.519], [0.500, 0.500, 0.750], [0.000, 0.000, 0.981]], "total_energy_ev_per_atom": -5.557, "ef_ev_per_fu": -0.1, "n_ef_per_ev_cell": 3.18}


Entry 8:
{"formula": "LaTbPb2", "functional": "PBE-GGA", "state": "relaxed", "lattice_angstrom": [[4.393, 0.000, -1.598], [0.000, 4.538, 0.000], [-0.143, 0.000, 6.427]], "species": ["Pb", "Pb", "Tb", "La"], "frac_coords": [[0.988, 0.000, 0.513], [0.180, 0.500, 0.900], [0.713, 0.000, 0.966], [0.451, 0.500, 0.439]], "total_energy_ev_per_atom": -4.779, "ef_ev_per_fu": -2.1, "n_ef_per_ev_cell": 3.41}


What is the formula in the fourth record?
Sc2GaBiH